# PBE+U NiP2PbO8, relaxed
# - Total energy: -6.2756 eV/atom
# - Theoretical density: 5.14 g/cm3
# - V: 147.27 Å³/f.u.
# - D(E_F): 0.84 states/eV per atom
data_NiP2PbO8
_chemical_formula_sum 'Ni3 P6 Pb3 O24'
_symmetry_space_group_name_H-M 'R -3'
_symmetry_Int_Tables_number 148
_symmetry_space_group_name_Hall '-R 3'
_cell_length_a 4.8128
_cell_length_b 4.8128
_cell_length_c 22.0251
_cell_angle_alpha 90.00
_cell_angle_beta 90.00
_cell_angle_gamma 120.00
loop_
_atom_site_label
_atom_site_fract_x
_atom_site_fract_y
_atom_site_fract_z
Ni1 0.0000 0.0000 0.0000
P1 0.0000 0.0000 0.2595
Pb1 0.0000 0.0000 0.5000
O1 0.0000 0.0000 0.1887
O2 0.0153 0.6457 0.3868